# 1
This record from Alexandria describes a geometry-optimized Ca4Er structure. The functional is PBE.

Cell lengths 6.182, 6.182, 6.182 Å; angles 90.00, 90.00, 90.00 degrees
Element x y z (fractional)
Ca (0.000, 0.000, 0.000)
Ca (0.000, 0.500, 0.500)
Ca (0.500, 0.000, 0.500)
Ca (0.500, 0.500, 0.000)
Er (0.500, 0.500, 0.500)

Output
Its formation enthalpy at 0 K is 15.501 kcal/mol of atoms.

=====

# 2
This record from Alexandria describes a geometry-optimized NaSc2Tc structure. The functional is PBE.

Cell lengths 7.643, 7.643, 7.643 Å; angles 120.80, 120.80, 88.62 degrees
Element x y z (fractional)
Na (0.375, 0.625, 0.750)
Na (0.625, 0.375, 0.250)
Sc (0.000, 0.000, 0.000)
Sc (0.000, 0.000, 0.500)
Sc (0.000, 0.500, 0.000)
Sc (0.500, 0.000, 0.500)
Tc (0.125, 0.875, 0.250)
Tc (0.875, 0.125, 0.750)

Output
Its formation enthalpy at 0 K is 17.946 kcal/mol of atoms.

=====

# 3
This record from Alexandria describes a geometry-optimized HfGe2RhCl structure. The functional is PBE.

Cell lengths 5.294, 5.294, 4.788 Å; angles 90.00, 90.00, 90.00 degrees
Element x y z (fractional)
Hf (0.000, 0.000, 0.000)
Ge (0.000, 0.500, 0.000)
Ge (0.500, 0.000, 0.000)
Rh (0.000, 0.000, 0.500)
Cl (0.500, 0.500, 0.500)

Output
As for the raw formation energy: 64 kJ/mol of atoms.

=====

# 4
This record from Alexandria describes a geometry-optimized NaCa3Pr2Te6 structure. The functional is PBE.

Cell lengths 10.138, 10.138, 9.125 Å; angles 102.99, 102.99, 25.73 degrees
Element x y z (fractional)
Na (0.000, 0.000, 0.000)
Ca (0.000, 0.000, 0.500)
Ca (0.336, 0.336, 0.164)
Ca (0.664, 0.664, 0.836)
Pr (0.337, 0.337, 0.669)
Pr (0.663, 0.663, 0.331)
Te (0.167, 0.167, 0.587)
Te (0.170, 0.170, 0.084)
Te (0.500, 0.500, 0.255)
Te (0.500, 0.500, 0.745)
Te (0.830, 0.830, 0.916)
Te (0.833, 0.833, 0.413)

Output
As for the raw formation energy: -144 kJ/mol of atoms.

=====

# 5
This record from Alexandria describes a geometry-optimized DyNpPa2As4 structure. The functional is PBE.

Cell lengths 7.077, 4.110, 7.123 Å; angles 90.00, 109.57, 90.00 degrees
Element x y z (fractional)
Dy (0.000, 0.000, 0.000)
Np (0.000, 0.500, 0.500)
Pa (0.500, 0.000, 0.500)
Pa (0.500, 0.500, 0.000)
As (0.251, 0.000, 0.751)
As (0.252, 0.500, 0.250)
As (0.748, 0.500, 0.750)
As (0.749, 0.000, 0.249)

Output
Its formation enthalpy at 0 K is -24.960 kcal/mol of atoms.

=====

# 6
This record from Alexandria describes a geometry-optimized K2ThUTe4 structure. The functional is PBE.

Cell lengths 7.784, 4.487, 8.803 Å; angles 90.00, 107.08, 90.00 degrees
Element x y z (fractional)
K (0.000, 0.000, 0.000)
K (0.500, 0.500, 0.000)
Th (0.000, 0.500, 0.500)
U (0.500, 0.000, 0.500)
Te (0.240, 0.000, 0.718)
Te (0.262, 0.500, 0.285)
Te (0.738, 0.500, 0.715)
Te (0.760, 0.000, 0.282)

Output
As for the raw formation energy: -98 kJ/mol of atoms.

=====

# 7
This record from Alexandria describes a geometry-optimized KSrNbSe4 structure. The functional is PBE.

Cell lengths 7.249, 7.246, 9.238 Å; angles 90.00, 107.24, 90.00 degrees
Element x y z (fractional)
K (0.232, 0.250, 0.434)
K (0.768, 0.750, 0.566)
Sr (0.272, 0.250, 0.950)
Sr (0.728, 0.750, 0.050)
Nb (0.282, 0.750, 0.187)
Nb (0.718, 0.250, 0.813)
Se (0.079, 0.750, 0.352)
Se (0.094, 0.750, 0.925)
Se (0.497, 0.510, 0.765)
Se (0.497, 0.990, 0.765)
Se (0.503, 0.010, 0.235)
Se (0.503, 0.490, 0.235)
Se (0.906, 0.250, 0.075)
Se (0.921, 0.250, 0.648)

Output
As for the raw formation energy: -122 kJ/mol of atoms.

=====

# 8
This record from Alexandria describes a geometry-optimized CdMo2P structure. The functional is PBE.

Cell lengths 4.985, 4.985, 4.985 Å; angles 133.60, 133.60, 67.71 degrees
Element x y z (fractional)
Cd (0.000, 0.000, 0.000)
Mo (0.250, 0.750, 0.500)
Mo (0.500, 0.500, 0.000)
P (0.750, 0.250, 0.500)

Output
Its formation enthalpy at 0 K is 11.116 kcal/mol of atoms. Its relative energy among the computed polymorphs is 484 meV per atom.

=====

# 9
This record from Alexandria describes a geometry-optimized Li2Mg3NpS6 structure. The functional is PBE.

Cell lengths 6.492, 6.492, 6.519 Å; angles 99.60, 99.60, 119.96 degrees
Element x y z (fractional)
Li (0.166, 0.834, 0.000)
Li (0.834, 0.166, 0.000)
Mg (0.000, 0.000, 0.500)
Mg (0.334, 0.666, 0.500)
Mg (0.666, 0.334, 0.500)
Np (0.500, 0.500, 0.000)
S (0.081, 0.414, 0.739)
S (0.252, 0.252, 0.255)
S (0.414, 0.081, 0.739)
S (0.586, 0.919, 0.261)
S (0.748, 0.748, 0.745)
S (0.919, 0.586, 0.261)

Output
As for the raw formation energy: -132 kJ/mol of atoms.

=====

# 10
This record from Alexandria describes a geometry-optimized TlZnCr3 structure. The functional is PBE.

Cell lengths 5.192, 5.192, 5.192 Å; angles 90.00, 90.00, 90.00 degrees
Element x y z (fractional)
Tl (0.000, 0.000, 0.000)
Zn (0.500, 0.500, 0.500)
Cr (0.000, 0.000, 0.500)
Cr (0.000, 0.500, 0.000)
Cr (0.500, 0.000, 0.000)

Output
Its formation enthalpy at 0 K is 36.714 kcal/mol of atoms. Its relative energy among the computed polymorphs is 401 meV per atom.

=====

# 11
This record from Alexandria describes a geometry-optimized Sr2CaFe structure. The functional is PBE.

Cell lengths 3.877, 3.877, 9.763 Å; angles 90.00, 90.00, 90.00 degrees
Element x y z (fractional)
Sr (0.000, 0.000, 0.187)
Sr (0.000, 0.000, 0.813)
Ca (0.500, 0.500, 0.500)
Fe (0.500, 0.500, 0.000)

Output
Its formation enthalpy at 0 K is 9.540 kcal/mol of atoms. Its relative energy among the computed polymorphs is 24 meV per atom.

=====

# 12
This record from Alexandria describes a geometry-optimized Cu2AgHAu structure. The functional is PBE.

Cell lengths 4.051, 4.051, 3.865 Å; angles 90.00, 90.00, 90.00 degrees
Element x y z (fractional)
Cu (0.000, 0.500, 0.000)
Cu (0.500, 0.000, 0.000)
Ag (0.000, 0.000, 0.500)
H (0.500, 0.500, 0.000)
Au (0.500, 0.500, 0.500)

Output
Its relative energy among the computed polymorphs is 10 meV per atom.

=====

How do the records compare in raw total energy? In the order shown, they have -9.2; -42.5; -25.1; -53.6; -63.8; -41.6; -71.3; -26.1; -62.8; -24.5; -12.2; -16.9 eV per cell.